Entry 1:
## NpAlO6 (PBE)

Data for a relaxed NpAlO6 crystal.

Raw formation energy, meV per atom: -1920
Symmetry: No. 12
Uncorrected energy, eV/atom: -7.724
ρ, g/cm3: 5.38

Cell: 4.923 5.343 4.920 Å, 83.38 75.51 62.57°
Last column: magnetic moment on the atom in μB.
Positions (direct):
Np1 0.000 0.000 0.000  -0.12
Al1 0.500 0.000 0.500  -0.01
O1 0.874 0.741 0.255  0.21
O2 0.614 0.259 0.255  0.21
O3 0.386 0.741 0.745  0.21
O4 0.126 0.259 0.745  0.21
O5 0.259 0.000 0.260  0.35
O6 0.741 0.000 0.740  0.35

***

Entry 2:
## NpAlO3 (PBE)

Data for a relaxed NpAlO3 crystal.

Raw formation energy, meV per atom: -2830
Symmetry: No. 221
Uncorrected energy, eV/atom: -9.141
ρ, g/cm3: 9.71

Cell: 3.765 3.765 3.765 Å, 90.00 90.00 90.00°
Last column: magnetic moment on the atom in μB.
Positions (direct):
Np1 0.500 0.500 0.500  3.96
Al1 0.000 0.000 0.000  0.00
O1 0.000 0.500 0.000  -0.03
O2 0.000 0.000 0.500  -0.03
O3 0.500 0.000 0.000  -0.03